1.
Here is a relaxed Cs4CO4 crystal from Alexandria. Energies are from PBE.

Properties
Its symmetry is Cm, No. 8. The uncorrected formation energy comes out at -11.17 eV per formula unit. Its total energy is -43.6 eV per cell. The energy relative to the lowest polymorph listed for this composition is 30 meV per atom. The total magnetization is 0.01 μB per atom.

Cell and atoms, written as CIF:
```
data_Cs4CO4
_cell_length_a 5.971
_cell_length_b 5.971
_cell_length_c 8.225
_cell_angle_alpha 76.78
_cell_angle_beta 76.78
_cell_angle_gamma 91.93
_symmetry_space_group_name_H-M 'P 1'
_symmetry_Int_Tables_number 1
loop_
_symmetry_equiv_pos_as_xyz
'x,y,z'
loop_
_atom_site_label
_atom_site_type_symbol
_atom_site_fract_x
_atom_site_fract_y
_atom_site_fract_z
_atom_site_occupancy
Cs1 Cs 0.464 0.950 0.866 1
Cs2 Cs 0.065 0.570 0.387 1
Cs3 Cs 0.950 0.464 0.866 1
Cs4 Cs 0.570 0.065 0.387 1
O1 O 0.799 0.799 0.631 1
O2 O 0.167 0.894 0.663 1
O3 O 0.065 0.065 0.409 1
O4 O 0.894 0.167 0.663 1
C1 C 0.984 0.984 0.589 1
```


2.
Here is a relaxed Cs2CO3 crystal from Alexandria. Energies are from PBE.

Properties
Its symmetry is Fmmm, No. 69. The uncorrected formation energy comes out at -10.18 eV per formula unit. Its total energy is -72.0 eV per cell. The total magnetization is 0.00 μB per atom.

Cell and atoms, written as CIF:
```
data_Cs2CO3
_cell_length_a 7.244
_cell_length_b 7.244
_cell_length_c 7.594
_cell_angle_alpha 108.09
_cell_angle_beta 108.09
_cell_angle_gamma 110.43
_symmetry_space_group_name_H-M 'P 1'
_symmetry_Int_Tables_number 1
loop_
_symmetry_equiv_pos_as_xyz
'x,y,z'
loop_
_atom_site_label
_atom_site_type_symbol
_atom_site_fract_x
_atom_site_fract_y
_atom_site_fract_z
_atom_site_occupancy
Cs1 Cs 0.250 0.750 0.500 1
Cs2 Cs 0.254 0.254 0.000 1
Cs3 Cs 0.746 0.746 0.000 1
Cs4 Cs 0.750 0.250 0.500 1
O1 O 0.434 0.244 0.678 1
O2 O 0.756 0.566 0.322 1
O3 O 0.244 0.434 0.678 1
O4 O 0.816 0.816 0.631 1
O5 O 0.184 0.184 0.369 1
O6 O 0.566 0.756 0.322 1
C1 C 0.286 0.286 0.573 1
C2 C 0.714 0.714 0.427 1
```


3.
Here is a relaxed CsC2O2 crystal from Alexandria. Energies are from PBE.

Properties
Its symmetry is C2/m, No. 12. The uncorrected formation energy comes out at -5.25 eV per formula unit. Its total energy is -68.9 eV per cell. The total magnetization is 0.00 μB per atom.

Cell and atoms, written as CIF:
```
data_CsC2O2
_cell_length_a 6.964
_cell_length_b 6.964
_cell_length_c 4.767
_cell_angle_alpha 91.49
_cell_angle_beta 91.49
_cell_angle_gamma 62.05
_symmetry_space_group_name_H-M 'P 1'
_symmetry_Int_Tables_number 1
loop_
_symmetry_equiv_pos_as_xyz
'x,y,z'
loop_
_atom_site_label
_atom_site_type_symbol
_atom_site_fract_x
_atom_site_fract_y
_atom_site_fract_z
_atom_site_occupancy
O1 O 0.339 0.882 0.210 1
O2 O 0.118 0.661 0.790 1
O3 O 0.882 0.339 0.210 1
O4 O 0.661 0.118 0.790 1
C1 C 0.153 0.947 0.096 1
C2 C 0.847 0.053 0.904 1
C3 C 0.053 0.847 0.904 1
C4 C 0.947 0.153 0.096 1
Cs1 Cs 0.341 0.341 0.298 1
Cs2 Cs 0.659 0.659 0.702 1
```


4.
Here is a relaxed Cs2CO4 crystal from Alexandria. Energies are from PBE.

Properties
Its symmetry is P2_1/m, No. 11. The uncorrected formation energy comes out at -8.37 eV per formula unit. Its total energy is -78.3 eV per cell. The energy relative to the lowest polymorph listed for this composition is 0 meV per atom. The total magnetization is 0.00 μB per atom.

Cell and atoms, written as CIF:
```
data_Cs2CO4
_cell_length_a 6.565
_cell_length_b 6.017
_cell_length_c 7.506
_cell_angle_alpha 90.00
_cell_angle_beta 118.40
_cell_angle_gamma 90.00
_symmetry_space_group_name_H-M 'P 1'
_symmetry_Int_Tables_number 1
loop_
_symmetry_equiv_pos_as_xyz
'x,y,z'
loop_
_atom_site_label
_atom_site_type_symbol
_atom_site_fract_x
_atom_site_fract_y
_atom_site_fract_z
_atom_site_occupancy
C1 C 0.312 0.750 0.305 1
C2 C 0.688 0.250 0.695 1
O1 O 0.479 0.537 0.396 1
O2 O 0.720 0.250 0.881 1
O3 O 0.479 0.963 0.396 1
O4 O 0.280 0.750 0.119 1
O5 O 0.521 0.463 0.604 1
O6 O 0.521 0.037 0.604 1
O7 O 0.147 0.750 0.354 1
O8 O 0.853 0.250 0.646 1
Cs1 Cs 0.057 0.250 0.365 1
Cs2 Cs 0.678 0.750 0.979 1
Cs3 Cs 0.943 0.750 0.635 1
Cs4 Cs 0.322 0.250 0.021 1
```


5.
Here is a relaxed Cs4CO4 crystal from Alexandria. Energies are from PBE.

Properties
Its symmetry is I-42m, No. 121. The uncorrected formation energy comes out at -11.39 eV per formula unit. Its total energy is -43.9 eV per cell. The energy relative to the lowest polymorph listed for this composition is 6 meV per atom. The total magnetization is 0.01 μB per atom.

Cell and atoms, written as CIF:
```
data_Cs4CO4
_cell_length_a 8.470
_cell_length_b 8.470
_cell_length_c 8.470
_cell_angle_alpha 95.45
_cell_angle_beta 95.45
_cell_angle_gamma 144.09
_symmetry_space_group_name_H-M 'P 1'
_symmetry_Int_Tables_number 1
loop_
_symmetry_equiv_pos_as_xyz
'x,y,z'
loop_
_atom_site_label
_atom_site_type_symbol
_atom_site_fract_x
_atom_site_fract_y
_atom_site_fract_z
_atom_site_occupancy
O1 O 0.585 0.731 0.000 1
O2 O 0.415 0.415 0.146 1
O3 O 0.731 0.585 0.000 1
O4 O 0.269 0.269 0.854 1
Cs1 Cs 0.312 0.010 0.000 1
Cs2 Cs 0.688 0.688 0.698 1
Cs3 Cs 0.010 0.312 0.000 1
Cs4 Cs 0.990 0.990 0.302 1
C1 C 0.500 0.500 0.000 1
```


6.
Here is a relaxed Cs3CO3 crystal from Alexandria. Energies are from PBE.

Properties
Its symmetry is R3m, No. 160. The uncorrected formation energy comes out at -9.46 eV per formula unit. Its total energy is -36.1 eV per cell. The total magnetization is 0.00 μB per atom.

Cell and atoms, written as CIF:
```
data_Cs3CO3
_cell_length_a 5.975
_cell_length_b 10.748
_cell_length_c 5.975
_cell_angle_alpha 126.84
_cell_angle_beta 87.75
_cell_angle_gamma 126.84
_symmetry_space_group_name_H-M 'P 1'
_symmetry_Int_Tables_number 1
loop_
_symmetry_equiv_pos_as_xyz
'x,y,z'
loop_
_atom_site_label
_atom_site_type_symbol
_atom_site_fract_x
_atom_site_fract_y
_atom_site_fract_z
_atom_site_occupancy
Cs1 Cs 0.507 0.517 0.507 1
Cs2 Cs 0.000 0.010 0.493 1
Cs3 Cs 0.493 0.010 0.000 1
O1 O 0.726 0.531 0.000 1
O2 O 0.000 0.531 0.726 1
O3 O 0.274 0.806 0.274 1
C1 C 0.000 0.620 0.000 1
```


7.
Here is a relaxed CsPaCO5 crystal from Alexandria. Energies are from PBE.

Properties
Its symmetry is C2/c, No. 15. The uncorrected formation energy comes out at -16.95 eV per formula unit. Its total energy is -122.6 eV per cell. The total magnetization is 0.00 μB per atom.

Cell and atoms, written as CIF:
```
data_CsPaCO5
_cell_length_a 5.943
_cell_length_b 5.943
_cell_length_c 8.103
_cell_angle_alpha 105.86
_cell_angle_beta 105.86
_cell_angle_gamma 105.79
_symmetry_space_group_name_H-M 'P 1'
_symmetry_Int_Tables_number 1
loop_
_symmetry_equiv_pos_as_xyz
'x,y,z'
loop_
_atom_site_label
_atom_site_type_symbol
_atom_site_fract_x
_atom_site_fract_y
_atom_site_fract_z
_atom_site_occupancy
O1 O 0.843 0.262 0.134 1
O2 O 0.440 0.211 0.143 1
O3 O 0.944 0.056 0.750 1
O4 O 0.211 0.440 0.643 1
O5 O 0.738 0.157 0.366 1
O6 O 0.056 0.944 0.250 1
O7 O 0.262 0.843 0.634 1
O8 O 0.789 0.560 0.357 1
O9 O 0.157 0.738 0.866 1
O10 O 0.560 0.789 0.857 1
C1 C 0.698 0.302 0.250 1
C2 C 0.302 0.698 0.750 1
Pa1 Pa 0.000 0.000 0.500 1
Pa2 Pa 0.000 0.000 0.000 1
Cs1 Cs 0.344 0.656 0.250 1
Cs2 Cs 0.656 0.344 0.750 1
```


8.
Here is a relaxed Cs2PdC2O6 crystal from Alexandria. Energies are from PBE.

Properties
Its symmetry is C2/m, No. 12. The uncorrected formation energy comes out at -15.51 eV per formula unit. Its total energy is -70.6 eV per cell. The total magnetization is 0.00 μB per atom.

Cell and atoms, written as CIF:
```
data_Cs2PdC2O6
_cell_length_a 5.117
_cell_length_b 6.948
_cell_length_c 7.011
_cell_angle_alpha 115.77
_cell_angle_beta 90.00
_cell_angle_gamma 111.61
_symmetry_space_group_name_H-M 'P 1'
_symmetry_Int_Tables_number 1
loop_
_symmetry_equiv_pos_as_xyz
'x,y,z'
loop_
_atom_site_label
_atom_site_type_symbol
_atom_site_fract_x
_atom_site_fract_y
_atom_site_fract_z
_atom_site_occupancy
O1 O 0.846 0.127 0.737 1
O2 O 0.719 0.873 0.263 1
O3 O 0.154 0.873 0.263 1
O4 O 0.106 0.212 0.344 1
O5 O 0.894 0.788 0.656 1
O6 O 0.281 0.127 0.737 1
Pd1 Pd 0.500 0.000 0.500 1
Cs1 Cs 0.689 0.379 0.199 1
Cs2 Cs 0.311 0.621 0.801 1
C1 C 0.999 0.998 0.295 1
C2 C 0.001 0.002 0.705 1
```


9.
Here is a relaxed CsPrC2O6 crystal from Alexandria. Energies are from PBE.

Properties
Its symmetry is C2/c, No. 15. The uncorrected formation energy comes out at -21.18 eV per formula unit. Its total energy is -150.0 eV per cell. The energy relative to the lowest polymorph listed for this composition is 5 meV per atom. The total magnetization is 0.00 μB per atom.

Cell and atoms, written as CIF:
```
data_CsPrC2O6
_cell_length_a 6.721
_cell_length_b 6.721
_cell_length_c 7.646
_cell_angle_alpha 104.98
_cell_angle_beta 104.98
_cell_angle_gamma 92.66
_symmetry_space_group_name_H-M 'P 1'
_symmetry_Int_Tables_number 1
loop_
_symmetry_equiv_pos_as_xyz
'x,y,z'
loop_
_atom_site_label
_atom_site_type_symbol
_atom_site_fract_x
_atom_site_fract_y
_atom_site_fract_z
_atom_site_occupancy
C1 C 0.400 0.152 0.759 1
C2 C 0.152 0.400 0.259 1
C3 C 0.600 0.848 0.241 1
C4 C 0.848 0.600 0.741 1
O1 O 0.281 0.218 0.628 1
O2 O 0.959 0.397 0.249 1
O3 O 0.397 0.959 0.749 1
O4 O 0.528 0.296 0.900 1
O5 O 0.719 0.782 0.372 1
O6 O 0.782 0.719 0.872 1
O7 O 0.603 0.041 0.251 1
O8 O 0.704 0.472 0.600 1
O9 O 0.296 0.528 0.400 1
O10 O 0.472 0.704 0.100 1
O11 O 0.041 0.603 0.751 1
O12 O 0.218 0.281 0.128 1
Pr1 Pr 0.597 0.403 0.250 1
Pr2 Pr 0.403 0.597 0.750 1
Cs1 Cs 0.107 0.893 0.250 1
Cs2 Cs 0.893 0.107 0.750 1
```


10.
Here is a relaxed CsPrC2O6 crystal from Alexandria. Energies are from PBE.

Properties
Its symmetry is P-1, No. 2. The uncorrected formation energy comes out at -21.23 eV per formula unit. Its total energy is -300.2 eV per cell. The energy relative to the lowest polymorph listed for this composition is 0 meV per atom. The total magnetization is 0.00 μB per atom.

Cell and atoms, written as CIF:
```
data_CsPrC2O6
_cell_length_a 8.708
_cell_length_b 9.040
_cell_length_c 9.036
_cell_angle_alpha 98.99
_cell_angle_beta 114.62
_cell_angle_gamma 96.25
_symmetry_space_group_name_H-M 'P 1'
_symmetry_Int_Tables_number 1
loop_
_symmetry_equiv_pos_as_xyz
'x,y,z'
loop_
_atom_site_label
_atom_site_type_symbol
_atom_site_fract_x
_atom_site_fract_y
_atom_site_fract_z
_atom_site_occupancy
O1 O 0.956 0.882 0.372 1
O2 O 0.044 0.118 0.628 1
O3 O 0.438 0.111 0.828 1
O4 O 0.902 0.295 0.157 1
O5 O 0.604 0.679 0.272 1
O6 O 0.562 0.889 0.172 1
O7 O 0.905 0.653 0.197 1
O8 O 0.134 0.836 0.259 1
O9 O 0.539 0.341 0.007 1
O10 O 0.504 0.126 0.437 1
O11 O 0.723 0.209 0.384 1
O12 O 0.066 0.400 0.425 1
O13 O 0.118 0.184 0.305 1
O14 O 0.496 0.874 0.563 1
O15 O 0.866 0.164 0.741 1
O16 O 0.461 0.659 0.993 1
O17 O 0.471 0.644 0.634 1
O18 O 0.277 0.791 0.616 1
O19 O 0.098 0.705 0.843 1
O20 O 0.396 0.321 0.728 1
O21 O 0.934 0.600 0.575 1
O22 O 0.882 0.816 0.695 1
O23 O 0.095 0.347 0.803 1
O24 O 0.529 0.356 0.366 1
Cs1 Cs 0.755 0.971 0.969 1
Cs2 Cs 0.245 0.029 0.031 1
Cs3 Cs 0.241 0.526 0.190 1
Cs4 Cs 0.759 0.474 0.810 1
C1 C 0.418 0.768 0.604 1
C2 C 0.997 0.788 0.274 1
C3 C 0.541 0.742 0.141 1
C4 C 0.970 0.710 0.704 1
C5 C 0.582 0.232 0.396 1
C6 C 0.003 0.212 0.726 1
C7 C 0.459 0.258 0.859 1
C8 C 0.030 0.290 0.296 1
Pr1 Pr 0.261 0.049 0.523 1
Pr2 Pr 0.241 0.541 0.715 1
Pr3 Pr 0.739 0.951 0.477 1
Pr4 Pr 0.759 0.459 0.285 1
```


11.
Here is a relaxed Cs2PtC2O6 crystal from Alexandria. Energies are from PBE.

Properties
Its symmetry is C2/m, No. 12. The uncorrected formation energy comes out at -15.15 eV per formula unit. Its total energy is -71.1 eV per cell. The total magnetization is 0.00 μB per atom.

Cell and atoms, written as CIF:
```
data_Cs2PtC2O6
_cell_length_a 5.132
_cell_length_b 6.978
_cell_length_c 6.948
_cell_angle_alpha 115.60
_cell_angle_beta 90.00
_cell_angle_gamma 111.58
_symmetry_space_group_name_H-M 'P 1'
_symmetry_Int_Tables_number 1
loop_
_symmetry_equiv_pos_as_xyz
'x,y,z'
loop_
_atom_site_label
_atom_site_type_symbol
_atom_site_fract_x
_atom_site_fract_y
_atom_site_fract_z
_atom_site_occupancy
O1 O 0.281 0.128 0.736 1
O2 O 0.719 0.872 0.264 1
O3 O 0.896 0.793 0.663 1
O4 O 0.104 0.207 0.337 1
O5 O 0.848 0.128 0.736 1
O6 O 0.152 0.872 0.264 1
C1 C 0.999 0.997 0.294 1
C2 C 0.001 0.003 0.706 1
Cs1 Cs 0.309 0.618 0.796 1
Cs2 Cs 0.691 0.382 0.204 1
Pt1 Pt 0.500 0.000 0.500 1
```


12.
Here is a relaxed CsPuC2O6 crystal from Alexandria. Energies are from PBE.

Properties
Its symmetry is C2/c, No. 15. The uncorrected formation energy comes out at -19.55 eV per formula unit. Its total energy is -165.9 eV per cell. The total magnetization is 0.50 μB per atom.

Cell and atoms, written as CIF:
```
data_CsPuC2O6
_cell_length_a 6.696
_cell_length_b 6.696
_cell_length_c 7.550
_cell_angle_alpha 104.76
_cell_angle_beta 104.76
_cell_angle_gamma 92.59
_symmetry_space_group_name_H-M 'P 1'
_symmetry_Int_Tables_number 1
loop_
_symmetry_equiv_pos_as_xyz
'x,y,z'
loop_
_atom_site_label
_atom_site_type_symbol
_atom_site_fract_x
_atom_site_fract_y
_atom_site_fract_z
_atom_site_occupancy
O1 O 0.772 0.717 0.867 1
O2 O 0.392 0.961 0.748 1
O3 O 0.705 0.466 0.596 1
O4 O 0.228 0.283 0.133 1
O5 O 0.534 0.295 0.904 1
O6 O 0.608 0.039 0.252 1
O7 O 0.961 0.392 0.248 1
O8 O 0.717 0.772 0.367 1
O9 O 0.295 0.534 0.404 1
O10 O 0.466 0.705 0.096 1
O11 O 0.039 0.608 0.752 1
O12 O 0.283 0.228 0.633 1
Cs1 Cs 0.895 0.105 0.750 1
Cs2 Cs 0.105 0.895 0.250 1
C1 C 0.598 0.843 0.238 1
C2 C 0.157 0.402 0.262 1
C3 C 0.402 0.157 0.762 1
C4 C 0.843 0.598 0.738 1
Pu1 Pu 0.396 0.604 0.750 1
Pu2 Pu 0.604 0.396 0.250 1
```